1.
DFT (GGA-PBE) results for crystalline Sr3Pd at its relaxed geometry.

Lattice parameters (Å, degrees): 4.162 7.121 6.968 120.73 107.38 90.00
Fractional coordinates of all 4 atoms:
Sr  0.678  0.053  0.357
Sr  0.500  0.365  0.000
Sr  0.322  0.696  0.643
Pd  0.000  0.053  0.000

Summary:
Volume (Å³/atom): 41.61
Formation enthalpy at 0 K (eV/atom): -0.30



2.
DFT (GGA-PBE) results for crystalline LaNiSb at its relaxed geometry.

Lattice parameters (Å, degrees): 4.412 4.412 4.273 90.00 90.00 120.00
Fractional coordinates of all 3 atoms:
Ni  0.667  0.333  0.489
La  0.000  0.000  0.005
Sb  0.333  0.667  0.505

Summary:
Volume (Å³/atom): 24.02
Formation energy from raw total energies (eV per atom): -0.8731



3.
DFT (GGA-PBE) results for crystalline SrAlOs2 at its relaxed geometry.

Lattice parameters (Å, degrees): 2.882 2.882 9.003 90.00 90.00 112.98
Fractional coordinates of all 4 atoms:
Sr  0.500  0.500  0.250
Os  0.000  0.000  0.536
Os  0.000  0.000  0.964
Al  0.500  0.500  0.750

Summary:
Volume (Å³/atom): 17.21
Formation enthalpy at 0 K (eV/atom): 0.56



4.
DFT (GGA-PBE) results for crystalline Sb2OsW at its relaxed geometry.

Lattice parameters (Å, degrees): 5.175 5.175 5.406 66.16 66.16 35.83
Fractional coordinates of all 4 atoms:
Sb  0.974  0.974  0.054
Sb  0.776  0.776  0.698
Os  0.220  0.220  0.169
W  0.530  0.530  0.578

Summary:
Volume (Å³/atom): 19.19
Formation energy from raw total energies (eV per atom): 0.5361
Energy above the lowest structure with this stoichiometry (meV/atom): 298



5.
DFT (GGA-PBE) results for crystalline Ba8Sr2Ga at its relaxed geometry.

Lattice parameters (Å, degrees): 6.441 8.470 11.785 86.62 105.86 90.00
Fractional coordinates of all 11 atoms:
Ba  0.586  0.633  0.172
Ba  0.977  0.779  0.954
Ba  0.822  0.141  0.643
Ba  0.636  0.129  0.272
Ba  0.178  0.859  0.357
Ba  0.023  0.221  0.046
Ba  0.364  0.871  0.728
Ba  0.414  0.367  0.828
Sr  0.785  0.634  0.571
Sr  0.215  0.366  0.429
Ga  0.500  0.000  0.000

Summary:
Volume (Å³/atom): 56.12
Formation enthalpy at 0 K (eV/atom): -0.01



6.
DFT (GGA-PBE) results for crystalline ReIr3F at its relaxed geometry.

Lattice parameters (Å, degrees): 4.743 4.743 4.743 90.00 90.00 90.00
Each line ends with the local moment (μB).
Fractional coordinates of all 5 atoms:
Re  0.000  0.000  0.000  -0.02
Ir  0.000  0.500  0.000  0.15
Ir  0.500  0.000  0.000  0.14
Ir  0.000  0.000  0.500  0.26
F  0.500  0.500  0.500  0.00

Summary:
Volume (Å³/atom): 21.33
Formation energy from raw total energies (eV per atom): 1.7388
Energy above the lowest structure with this stoichiometry (meV/atom): 290



7.
DFT (GGA-PBE) results for crystalline CeSc3Hg4 at its relaxed geometry.

Lattice parameters (Å, degrees): 5.033 7.443 10.064 90.00 90.00 90.00
Each line ends with the local moment (μB).
Fractional coordinates of all 16 atoms:
Hg  0.000  0.771  0.750  0.01
Hg  0.000  0.229  0.750  0.01
Hg  0.500  0.229  0.000  0.01
Hg  0.500  0.771  0.000  0.01
Hg  0.000  0.771  0.250  0.01
Hg  0.500  0.771  0.500  0.01
Hg  0.000  0.229  0.250  0.01
Hg  0.500  0.229  0.500  0.01
Sc  0.500  0.000  0.750  0.02
Sc  0.500  0.000  0.250  0.02
Sc  0.500  0.500  0.250  0.30
Sc  0.000  0.000  0.500  0.05
Sc  0.000  0.000  0.000  0.05
Sc  0.500  0.500  0.750  0.30
Ce  0.000  0.500  0.000  0.90
Ce  0.000  0.500  0.500  0.90

Summary:
Volume (Å³/atom): 23.56
Formation enthalpy at 0 K (eV/atom): -0.36



8.
DFT (GGA-PBE) results for crystalline RbZrBiIr2 at its relaxed geometry.

Lattice parameters (Å, degrees): 5.193 5.469 5.193 90.00 90.00 90.00
Each line ends with the local moment (μB).
Fractional coordinates of all 5 atoms:
Ir  0.500  0.000  0.000  0.47
Ir  0.000  0.000  0.500  0.51
Bi  0.000  0.000  0.000  0.01
Zr  0.000  0.500  0.000  0.34
Rb  0.500  0.500  0.500  0.01

Summary:
Volume (Å³/atom): 29.50
Formation enthalpy at 0 K (eV/atom): 1.44



In order of appearance, uncorrected energy = -2.855, -5.817, -6.409, -7.571, -1.993, -6.442, -3.630, -4.787 eV per atom.
In order of appearance, density = 3.684, 7.361, 11.941, 13.363, 3.614, 12.171, 9.491, 8.671 g cm⁻³.